Compound: ZrTl2I
Source: Alexandria
Functional: GGA-PBE
Structure: optimized geometry Values from VASP.

Calculated values
The calculation puts the distance to the lowest polymorph of the same formula at 0.197 eV per atom.

Quantum ESPRESSO input file:
```
&SYSTEM
  ibrav = 0, nat = 4, ntyp = 3
/
ATOMIC_SPECIES
Zr 91.22 Zr.upf
Tl 204.38 Tl.upf
I 126.90 I.upf
CELL_PARAMETERS angstrom
0.0000 3.9131 3.9131
3.9131 0.0000 3.9131
3.9131 3.9131 0.0000
ATOMIC_POSITIONS angstrom
Zr 0.0000 0.0000 0.0000
Tl 1.9566 1.9566 1.9566
Tl 5.8697 5.8697 5.8697
I 3.9131 3.9131 3.9131
```

Compound: Zr4TlI7
Source: Alexandria
Functional: GGA-PBE
Structure: optimized geometry Values from VASP.

Calculated values
For the energy, the calculation gives -52.778 eV/f.u.

Quantum ESPRESSO input file:
```
&SYSTEM
  ibrav = 0, nat = 24, ntyp = 3
/
ATOMIC_SPECIES
Zr 91.22 Zr.upf
Tl 204.38 Tl.upf
I 126.90 I.upf
CELL_PARAMETERS angstrom
5.5977 0.0000 0.0000
0.0000 18.2763 0.0000
-1.0209 0.0000 8.1443
ATOMIC_POSITIONS angstrom
Zr 0.0000 2.7228 0.0000
Zr 0.0000 15.5535 0.0000
Zr -0.0545 4.5033 5.7685
Zr -0.0545 13.7729 5.7685
Zr 2.6288 4.6348 0.1841
Zr 2.6288 13.6414 0.1841
Zr 2.5741 6.4175 5.9516
Zr 2.5741 11.8588 5.9516
Tl 0.9501 9.1381 1.7640
Tl 1.6044 0.0000 4.1941
I -0.1093 2.8709 3.2505
I -0.1093 15.4053 3.2505
I -0.1464 7.3227 5.0488
I -0.1464 10.9536 5.0488
I 2.7196 1.8150 0.9034
I 2.7196 16.4613 0.9034
I 2.6834 6.2760 2.6988
I 2.6834 12.0002 2.6988
I 2.7252 3.4729 5.8336
I 2.7252 14.8033 5.8336
I 2.5396 9.1381 7.4174
I 4.6073 0.0000 6.6793
I 5.4471 5.6670 0.1184
I 5.4471 12.6092 0.1184
```

Compound: ZrTlI6
Source: Alexandria
Functional: GGA-PBE
Structure: optimized geometry Values from VASP.

Calculated values
For the energy, the calculation gives -25.422 eV/f.u.

Quantum ESPRESSO input file:
```
&SYSTEM
  ibrav = 0, nat = 8, ntyp = 3
/
ATOMIC_SPECIES
Zr 91.22 Zr.upf
Tl 204.38 Tl.upf
I 126.90 I.upf
CELL_PARAMETERS angstrom
3.8239 2.2078 6.8972
-3.8239 2.2078 6.8972
0.0000 -4.4155 6.8972
ATOMIC_POSITIONS angstrom
Zr 0.0000 0.0000 0.0000
Tl 0.0000 0.0000 10.3458
I -2.7899 0.0742 8.5193
I -1.4592 -2.3790 12.1724
I 1.3307 -2.4532 8.5193
I -1.3307 2.4532 12.1724
I 1.4592 2.3790 8.5193
I 2.7899 -0.0742 12.1724
```

Compound: Zr2TlI8
Source: Alexandria
Functional: GGA-PBE
Structure: optimized geometry Values from VASP.

Calculated values
For the energy, the calculation gives -39.634 eV/f.u.

Quantum ESPRESSO input file:
```
&SYSTEM
  ibrav = 0, nat = 11, ntyp = 3
/
ATOMIC_SPECIES
Zr 91.22 Zr.upf
Tl 204.38 Tl.upf
I 126.90 I.upf
CELL_PARAMETERS angstrom
10.3830 0.0000 0.0000
-5.1915 8.9919 0.0000
0.0000 0.0000 5.8566
ATOMIC_POSITIONS angstrom
Zr 0.0000 5.9946 1.4123
Zr 5.1915 2.9973 4.4443
Tl 0.0000 0.0000 0.0000
I -0.0096 3.2271 1.5312
I -2.3919 7.3867 1.5312
I 0.0000 5.9946 4.4000
I 2.7900 1.6219 4.3253
I 2.4015 7.3700 1.5312
I 5.1915 2.9973 1.4565
I 7.5834 1.6052 4.3253
I 5.2011 5.7648 4.3253
```

Compound: Zr2Tl2I
Source: Alexandria
Functional: GGA-PBE
Structure: optimized geometry Values from VASP.

Calculated values
The calculation puts the distance to the lowest polymorph of the same formula at 0.258 eV per atom.

Quantum ESPRESSO input file:
```
&SYSTEM
  ibrav = 0, nat = 5, ntyp = 3
/
ATOMIC_SPECIES
Zr 91.22 Zr.upf
Tl 204.38 Tl.upf
I 126.90 I.upf
CELL_PARAMETERS angstrom
-2.1022 2.1022 7.5079
2.1022 -2.1022 7.5079
2.1022 2.1022 -7.5079
ATOMIC_POSITIONS angstrom
Zr 0.0000 0.0000 1.4984
Zr 0.0000 0.0000 13.5173
Tl 2.1022 0.0000 3.7539
Tl 0.0000 2.1022 3.7539
I 0.0000 0.0000 7.5079
```

Compound: ZrTl2I
Source: Alexandria
Functional: GGA-PBE
Structure: optimized geometry Values from VASP.

Calculated values
The calculation puts the distance to the lowest polymorph of the same formula at 0.000 eV per atom.

Quantum ESPRESSO input file:
```
&SYSTEM
  ibrav = 0, nat = 8, ntyp = 3
/
ATOMIC_SPECIES
Zr 91.22 Zr.upf
Tl 204.38 Tl.upf
I 126.90 I.upf
CELL_PARAMETERS angstrom
-2.1870 2.1870 12.1062
2.1870 -2.1870 12.1062
2.1870 2.1870 -12.1062
ATOMIC_POSITIONS angstrom
Zr 0.0000 0.0000 0.0000
Zr 0.0000 2.1870 6.0531
Tl 3.2805 1.0374 -3.0265
Tl 1.0374 1.0935 3.0265
Tl -1.0935 1.1496 9.0796
Tl 1.1496 1.0935 15.1327
I 2.1870 0.0000 6.0531
I 0.0000 0.0000 12.1062
```

Compound: ZrTlI3
Source: Alexandria
Functional: GGA-PBE
Structure: optimized geometry Values from VASP.

Calculated values
The calculation puts the distance to the lowest polymorph of the same formula at 0.000 eV per atom.

Quantum ESPRESSO input file:
```
&SYSTEM
  ibrav = 0, nat = 5, ntyp = 3
/
ATOMIC_SPECIES
Zr 91.22 Zr.upf
Tl 204.38 Tl.upf
I 126.90 I.upf
CELL_PARAMETERS angstrom
5.8062 0.0000 0.0000
0.0000 5.8062 0.0000
0.0000 0.0000 5.8062
ATOMIC_POSITIONS angstrom
Zr 0.0000 0.0000 0.0000
Tl 2.9031 2.9031 2.9031
I 0.0000 0.0000 2.9031
I 0.0000 2.9031 0.0000
I 2.9031 0.0000 0.0000
```

Compound: Tm4I
Source: Alexandria
Functional: GGA-PBE
Structure: optimized geometry Values from VASP.

Calculated values
For the energy, the calculation gives -18.035 eV/f.u.

Quantum ESPRESSO input file:
```
&SYSTEM
  ibrav = 0, nat = 5, ntyp = 2
/
ATOMIC_SPECIES
Tm 168.93 Tm.upf
I 126.90 I.upf
CELL_PARAMETERS angstrom
5.5695 0.0000 0.0000
0.0000 5.5695 0.0000
0.0000 0.0000 5.5695
ATOMIC_POSITIONS angstrom
Tm 0.0000 0.0000 0.0000
Tm 0.0000 2.7848 2.7848
Tm 2.7848 0.0000 2.7848
Tm 2.7848 2.7848 0.0000
I 2.7848 2.7848 2.7848
```

Compound: TmI2
Source: Alexandria
Functional: GGA-PBE
Structure: optimized geometry Values from VASP.

Calculated values
For the energy, the calculation gives -10.953 eV/f.u.

Quantum ESPRESSO input file:
```
&SYSTEM
  ibrav = 0, nat = 3, ntyp = 2
/
ATOMIC_SPECIES
Tm 168.93 Tm.upf
I 126.90 I.upf
CELL_PARAMETERS angstrom
4.0848 0.0000 0.0000
-2.0424 3.5376 0.0000
0.0000 0.0000 7.9798
ATOMIC_POSITIONS angstrom
Tm 0.0000 0.0000 0.0000
I 0.0000 2.3584 1.9227
I 2.0424 1.1792 6.0572
```

Compound: TmI
Source: Alexandria
Functional: GGA-PBE
Structure: optimized geometry Values from VASP.

Calculated values
For the energy, the calculation gives -7.668 eV/f.u.

Quantum ESPRESSO input file:
```
&SYSTEM
  ibrav = 0, nat = 4, ntyp = 2
/
ATOMIC_SPECIES
Tm 168.93 Tm.upf
I 126.90 I.upf
CELL_PARAMETERS angstrom
3.8426 0.0000 0.0000
0.0000 3.8424 0.0000
-0.0853 0.0000 9.5823
ATOMIC_POSITIONS angstrom
Tm 0.9180 0.9606 3.6906
Tm 2.8393 2.8818 5.8917
I 0.9179 0.9606 7.6331
I 2.8394 2.8818 1.9491
```

Compound: TmI3
Source: Alexandria
Functional: GGA-PBE
Structure: optimized geometry Values from VASP.

Calculated values
For the energy, the calculation gives -14.396 eV/f.u.

Quantum ESPRESSO input file:
```
&SYSTEM
  ibrav = 0, nat = 4, ntyp = 2
/
ATOMIC_SPECIES
Tm 168.93 Tm.upf
I 126.90 I.upf
CELL_PARAMETERS angstrom
-1.9722 6.3808 3.9286
1.9722 -6.3808 3.9286
1.9722 6.3808 -3.9286
ATOMIC_POSITIONS angstrom
Tm 0.0000 0.0000 0.0000
I 1.9722 1.9864 1.1488
I 0.0000 6.3808 1.6350
I 0.0000 4.3944 5.0773
```

Compound: TmVI
Source: Alexandria
Functional: GGA-PBE
Structure: optimized geometry Values from VASP.

Calculated values
For the energy, the calculation gives -15.092 eV/f.u.

Quantum ESPRESSO input file:
```
&SYSTEM
  ibrav = 0, nat = 6, ntyp = 3
/
ATOMIC_SPECIES
Tm 168.93 Tm.upf
V 50.94 V.upf
I 126.90 I.upf
CELL_PARAMETERS angstrom
5.2581 -1.7935 0.0000
5.2581 1.7935 0.0000
-1.9507 0.0000 7.8599
ATOMIC_POSITIONS angstrom
Tm 0.4474 0.0000 1.6099
Tm 8.1182 0.0000 6.2500
V 3.3862 0.0000 0.4480
V 5.1794 0.0000 7.4120
I 0.4981 0.0000 5.1509
I 8.0675 0.0000 2.7091
```

Which formula does entry 2 have? Zr4TlI7